! Pm2SmAg3Se6 PBE-GGA relaxed; values from VASP
! final energy	-4.802	eV/atom
! space group	C2/m (12)
&SYSTEM
  ibrav = 0, nat = 12, ntyp = 4
/
ATOMIC_SPECIES
Pm 145.00 Pm.upf
Sm 150.36 Sm.upf
Ag 107.87 Ag.upf
Se 78.96 Se.upf
ATOMIC_POSITIONS angstrom
Pm 2.5700 0.0000 2.6443
Pm 13.9536 0.0000 5.3868
Sm 8.8458 0.0000 0.0000
Ag 2.0572 0.0000 6.5926
Ag 8.2618 0.0000 4.0156
Ag 14.4664 0.0000 1.4385
Se -0.8535 0.0000 6.0347
Se 4.8107 0.0000 7.3963
Se 5.4401 0.0000 3.3687
Se 11.0835 0.0000 4.6625
Se 11.7129 0.0000 0.6349
Se 17.3771 0.0000 1.9964
CELL_PARAMETERS angstrom
8.8458 -2.1426 0.0000
8.8458 2.1426 0.0000
-1.1680 0.0000 8.0311